a | 5
Lattice="4.207 0.000 0.000 0.000 4.207 0.000 0.000 0.000 4.207" Properties=species:S:1:pos:R:3 comment="ScBP3 | Alexandria | GGA-PBE | optimized geometry" vol_a3_per_cell=74.5 magmom_total_mub_per_atom=0.0000 n_ef_per_ev_cell=3.4 pbc="T T T"
Sc 0.000 0.000 0.000
B 2.104 2.104 2.104
P 0.000 2.104 2.104
P 2.104 0.000 2.104
P 2.104 2.104 0.000


b | 5
Lattice="4.905 0.000 0.000 0.000 4.905 0.000 0.000 0.000 4.905" Properties=species:S:1:pos:R:3 comment="ScBP3 | Alexandria | GGA-PBE | optimized geometry" vol_a3_per_cell=118.0 magmom_total_mub_per_atom=0.0000 n_ef_per_ev_cell=4.0 pbc="T T T"
Sc 0.000 0.000 0.000
B 2.453 2.453 2.453
P 0.000 0.000 2.453
P 0.000 2.453 0.000
P 2.453 0.000 0.000


Stability check: which of them is most stable? a.


a | 10
Lattice="6.485 0.000 0.000 0.000 6.485 0.000 0.000 0.000 3.051" Properties=species:S:1:pos:R:3 comment="ScB2P2 | Alexandria | GGA-PBE | optimized geometry" vol_a3_per_cell=128.3 magmom_total_mub_per_atom=0.0000 n_ef_per_ev_cell=3.7 pbc="T T T"
Sc 0.000 0.000 0.000
Sc 3.242 3.242 0.000
B 0.681 2.562 1.525
B 2.562 5.804 1.525
B 3.923 0.681 1.525
B 5.804 3.923 1.525
P 0.875 4.118 0.000
P 2.367 0.875 0.000
P 4.118 5.609 0.000
P 5.609 2.367 0.000


b | 5
Lattice="-1.971 1.971 4.096 1.971 -1.971 4.096 1.971 1.971 -4.096" Properties=species:S:1:pos:R:3 comment="ScB2P2 | Alexandria | GGA-PBE | optimized geometry" vol_a3_per_cell=63.6 magmom_total_mub_per_atom=0.0000 n_ef_per_ev_cell=2.0 pbc="T T T"
Sc 0.000 0.000 0.000
B 1.971 0.000 2.048
B 0.000 1.971 2.048
P 0.000 0.000 2.637
P 0.000 0.000 5.554


Stability check: which of them is most stable? b.


a | 5
Lattice="4.279 0.000 0.000 0.000 4.279 0.000 0.000 0.000 4.866" Properties=species:S:1:pos:R:3 comment="ScTcB2P | Alexandria | GGA-PBE | optimized geometry" vol_a3_per_cell=89.1 magmom_total_mub_per_atom=0.3004 n_ef_per_ev_cell=3.8 pbc="T T T"
Sc 0.000 0.000 0.000
Tc 0.000 0.000 2.433
B 0.000 2.140 0.000
B 2.140 0.000 0.000
P 2.140 2.140 2.433


b | 5
Lattice="3.931 0.000 0.000 0.000 3.931 0.000 0.000 0.000 4.448" Properties=species:S:1:pos:R:3 comment="ScTcB2P | Alexandria | GGA-PBE | optimized geometry" vol_a3_per_cell=68.7 magmom_total_mub_per_atom=0.0000 n_ef_per_ev_cell=3.0 pbc="T T T"
Sc 0.000 0.000 0.000
Tc 1.965 1.965 0.000
B 0.000 1.965 2.224
B 1.965 0.000 2.224
P 1.965 1.965 2.224


Stability check: which of them is most stable? b.


a | 4
Lattice="0.000 3.043 3.043 3.043 0.000 3.043 3.043 3.043 0.000" Properties=species:S:1:pos:R:3 comment="BP2Se | Alexandria | GGA-PBE | optimized geometry" vol_a3_per_cell=56.3 magmom_total_mub_per_atom=0.0000 n_ef_per_ev_cell=3.6 pbc="T T T"
B 0.000 0.000 0.000
P 1.521 1.521 1.521
P 4.564 4.564 4.564
Se 3.043 3.043 3.043


b | 8
Lattice="-2.844 2.844 3.973 2.844 -2.844 3.973 2.844 2.844 -3.973" Properties=species:S:1:pos:R:3 comment="BP2Se | Alexandria | GGA-PBE | optimized geometry" vol_a3_per_cell=128.6 magmom_total_mub_per_atom=0.0000 n_ef_per_ev_cell=4.6 pbc="T T T"
B 0.000 0.000 0.000
B 0.000 2.844 1.986
P 1.422 0.939 -0.993
P 1.905 -1.422 4.966
P 1.422 1.905 2.980
P 0.939 4.267 0.993
Se 2.844 0.000 1.986
Se 0.000 0.000 3.973


Stability check: which of them is most stable? b.


a | 5
Lattice="4.082 0.000 0.000 0.000 4.082 0.000 0.000 0.000 4.082" Properties=species:S:1:pos:R:3 comment="B3PSe | Alexandria | GGA-PBE | optimized geometry" vol_a3_per_cell=68.0 magmom_total_mub_per_atom=0.0000 n_ef_per_ev_cell=2.2 pbc="T T T"
B 0.000 0.000 2.041
B 0.000 2.041 0.000
B 2.041 0.000 0.000
P 2.041 2.041 2.041
Se 0.000 0.000 0.000


b | 5
Lattice="3.963 0.000 0.000 0.000 3.963 0.000 0.000 0.000 3.963" Properties=species:S:1:pos:R:3 comment="B3PSe | Alexandria | GGA-PBE | optimized geometry" vol_a3_per_cell=62.3 magmom_total_mub_per_atom=0.0000 n_ef_per_ev_cell=2.1 pbc="T T T"
B 0.000 0.000 1.982
B 0.000 1.982 0.000
B 1.982 0.000 0.000
P 0.000 0.000 0.000
Se 1.982 1.982 1.982


Stability check: which of them is most stable? b.


a | 5
Lattice="4.433 0.000 0.000 0.000 4.433 0.000 0.000 0.000 4.433" Properties=species:S:1:pos:R:3 comment="BPSe3 | Alexandria | GGA-PBE | optimized geometry" vol_a3_per_cell=87.1 magmom_total_mub_per_atom=0.0000 n_ef_per_ev_cell=3.3 pbc="T T T"
B 0.000 0.000 0.000
P 2.216 2.216 2.216
Se 0.000 0.000 2.216
Se 0.000 2.216 0.000
Se 2.216 0.000 0.000


b | 5
Lattice="4.840 0.000 0.000 0.000 4.840 0.000 0.000 0.000 4.840" Properties=species:S:1:pos:R:3 comment="BPSe3 | Alexandria | GGA-PBE | optimized geometry" vol_a3_per_cell=113.3 magmom_total_mub_per_atom=0.0000 n_ef_per_ev_cell=5.5 pbc="T T T"
B 0.000 0.000 0.000
P 2.420 2.420 2.420
Se 0.000 2.420 2.420
Se 2.420 0.000 2.420
Se 2.420 2.420 0.000


Stability check: which of them is most stable? a.


a | 5
Lattice="4.403 0.000 0.000 0.000 4.403 0.000 0.000 0.000 5.585" Properties=species:S:1:pos:R:3 comment="SrBPSe2 | Alexandria | GGA-PBE | optimized geometry" vol_a3_per_cell=108.3 magmom_total_mub_per_atom=0.0000 n_ef_per_ev_cell=2.8 pbc="T T T"
Sr 0.000 0.000 0.000
B 0.000 0.000 2.793
P 2.201 2.201 0.000
Se 0.000 2.201 2.793
Se 2.201 0.000 2.793


b | 5
Lattice="5.171 0.000 0.000 0.000 5.171 0.000 0.000 0.000 3.934" Properties=species:S:1:pos:R:3 comment="SrBPSe2 | Alexandria | GGA-PBE | optimized geometry" vol_a3_per_cell=105.2 magmom_total_mub_per_atom=0.0000 n_ef_per_ev_cell=1.8 pbc="T T T"
Sr 0.000 0.000 0.000
B 2.585 2.585 0.000
P 2.585 2.585 1.967
Se 0.000 2.585 1.967
Se 2.585 0.000 1.967


Stability check: which of them is most stable? b.


a | 4
Lattice="0.000 2.723 2.723 2.723 0.000 2.723 2.723 2.723 0.000" Properties=species:S:1:pos:R:3 comment="SiB2P | Alexandria | GGA-PBE | optimized geometry" vol_a3_per_cell=40.4 magmom_total_mub_per_atom=0.0000 n_ef_per_ev_cell=1.5 pbc="T T T"
Si 0.000 0.000 0.000
B 1.362 1.362 1.362
B 4.085 4.085 4.085
P 2.723 2.723 2.723


b | 4
Lattice="1.617 0.933 5.474 -1.617 0.933 5.474 0.000 -1.867 5.474" Properties=species:S:1:pos:R:3 comment="SiB2P | Alexandria | GGA-PBE | optimized geometry" vol_a3_per_cell=49.6 magmom_total_mub_per_atom=0.0000 n_ef_per_ev_cell=1.0 pbc="T T T"
Si 0.000 0.000 0.000
B 0.000 0.000 6.278
B 0.000 0.000 7.998
P 0.000 0.000 14.134


Stability check: which of them is most stable? b.


a | 5
Lattice="4.478 0.000 0.000 0.000 4.478 0.000 0.000 0.000 4.478" Properties=species:S:1:pos:R:3 comment="SiBP3 | Alexandria | GGA-PBE | optimized geometry" vol_a3_per_cell=89.8 magmom_total_mub_per_atom=0.0000 n_ef_per_ev_cell=3.1 pbc="T T T"
Si 0.000 0.000 0.000
B 2.239 2.239 2.239
P 0.000 0.000 2.239
P 0.000 2.239 0.000
P 2.239 0.000 0.000


b | 5
Lattice="4.108 0.000 0.000 0.000 4.108 0.000 0.000 0.000 4.108" Properties=species:S:1:pos:R:3 comment="SiBP3 | Alexandria | GGA-PBE | optimized geometry" vol_a3_per_cell=69.3 magmom_total_mub_per_atom=0.0000 n_ef_per_ev_cell=4.2 pbc="T T T"
Si 0.000 0.000 0.000
B 2.054 2.054 2.054
P 0.000 2.054 2.054
P 2.054 0.000 2.054
P 2.054 2.054 0.000


Stability check: which of them is most stable? b.


a | 6
Lattice="5.029 -1.717 0.000 5.029 1.717 0.000 -3.061 0.000 6.377" Properties=species:S:1:pos:R:3 comment="SmBP | Alexandria | GGA-PBE | optimized geometry" vol_a3_per_cell=110.1 magmom_total_mub_per_atom=0.0000 n_ef_per_ev_cell=2.2 pbc="T T T"
Sm 1.337 0.000 1.536
Sm 5.659 0.000 4.841
B 3.024 0.000 3.916
B 3.973 0.000 2.461
P -1.649 0.000 4.970
P 8.645 0.000 1.407


b | 6
Lattice="1.832 -10.863 0.000 1.832 10.863 0.000 0.000 0.000 3.217" Properties=species:S:1:pos:R:3 comment="SmBP | Alexandria | GGA-PBE | optimized geometry" vol_a3_per_cell=128.1 magmom_total_mub_per_atom=0.0000 n_ef_per_ev_cell=2.7 pbc="T T T"
Sm 1.832 9.020 2.413
Sm 1.832 -9.020 0.804
B 1.832 3.109 2.413
B 1.832 -3.109 0.804
P 1.832 4.118 0.804
P 1.832 -4.118 2.413


Stability check: which of them is most stable? a.


a | 4
Lattice="2.117 1.222 6.190 -2.117 1.222 6.190 0.000 -2.445 6.190" Properties=species:S:1:pos:R:3 comment="SnBP2 | Alexandria | GGA-PBE | optimized geometry" vol_a3_per_cell=96.1 magmom_total_mub_per_atom=0.0000 n_ef_per_ev_cell=1.6 pbc="T T T"
Sn 0.000 0.000 0.000
B 0.000 0.000 9.285
P 0.000 0.000 7.511
P 0.000 0.000 11.060


b | 4
Lattice="0.000 3.192 3.192 3.192 0.000 3.192 3.192 3.192 0.000" Properties=species:S:1:pos:R:3 comment="SnBP2 | Alexandria | GGA-PBE | optimized geometry" vol_a3_per_cell=65.0 magmom_total_mub_per_atom=0.0000 n_ef_per_ev_cell=2.4 pbc="T T T"
Sn 0.000 0.000 0.000
B 3.192 3.192 3.192
P 1.596 1.596 1.596
P 4.788 4.788 4.788


Stability check: which of them is most stable? a.


a | 5
Lattice="-1.662 1.662 8.495 1.662 -1.662 8.495 1.662 1.662 -8.495" Properties=species:S:1:pos:R:3 comment="Sn2BP2 | Alexandria | GGA-PBE | optimized geometry" vol_a3_per_cell=93.9 magmom_total_mub_per_atom=0.0000 n_ef_per_ev_cell=2.1 pbc="T T T"
Sn 0.000 0.000 1.507
Sn 0.000 0.000 15.483
B 0.000 0.000 8.495
P 1.662 0.000 4.248
P 0.000 1.662 4.248


b | 10
Lattice="6.907 0.000 0.000 0.000 6.907 0.000 0.000 0.000 4.681" Properties=species:S:1:pos:R:3 comment="Sn2BP2 | Alexandria | GGA-PBE | optimized geometry" vol_a3_per_cell=223.3 magmom_total_mub_per_atom=0.0000 n_ef_per_ev_cell=6.1 pbc="T T T"
Sn 1.717 1.737 0.000
Sn 1.737 5.190 0.000
Sn 5.171 1.717 0.000
Sn 5.190 5.171 0.000
B 0.000 0.000 0.000
B 3.454 3.454 0.000
P 0.743 2.711 2.341
P 2.711 6.164 2.341
P 4.197 0.743 2.341
P 6.164 4.197 2.341


Stability check: which of them is most stable? a.


a | 8
Lattice="-2.480 2.480 4.798 2.480 -2.480 4.798 2.480 2.480 -4.798" Properties=species:S:1:pos:R:3 comment="SnB2P | Alexandria | GGA-PBE | optimized geometry" vol_a3_per_cell=118.1 magmom_total_mub_per_atom=0.0000 n_ef_per_ev_cell=4.0 pbc="T T T"
Sn 0.000 0.000 0.000
Sn 0.000 2.480 2.399
B 1.240 -0.954 3.599
B 1.526 1.240 1.200
B 1.240 3.434 -1.200
B 0.954 1.240 5.998
P 2.480 0.000 2.399
P 0.000 0.000 4.798


b | 4
Lattice="0.000 2.989 2.989 2.989 0.000 2.989 2.989 2.989 0.000" Properties=species:S:1:pos:R:3 comment="SnB2P | Alexandria | GGA-PBE | optimized geometry" vol_a3_per_cell=53.4 magmom_total_mub_per_atom=0.0000 n_ef_per_ev_cell=1.8 pbc="T T T"
Sn 0.000 0.000 0.000
B 1.494 1.494 1.494
B 4.483 4.483 4.483
P 2.989 2.989 2.989


Stability check: which of them is most stable? a.


a | 8
Lattice="-2.820 2.820 5.584 2.820 -2.820 5.584 2.820 2.820 -5.584" Properties=species:S:1:pos:R:3 comment="Sn2BP | Alexandria | GGA-PBE | optimized geometry" vol_a3_per_cell=177.6 magmom_total_mub_per_atom=0.0000 n_ef_per_ev_cell=0.0 pbc="T T T"
Sn 4.230 1.135 -1.396
Sn 1.135 1.410 1.396
Sn -1.410 1.685 4.188
Sn 1.685 1.410 6.980
B 0.000 0.000 0.000
B 0.000 2.820 2.792
P 2.820 0.000 2.792
P 0.000 0.000 5.584


b | 4
Lattice="0.000 3.350 3.350 3.350 0.000 3.350 3.350 3.350 0.000" Properties=species:S:1:pos:R:3 comment="Sn2BP | Alexandria | GGA-PBE | optimized geometry" vol_a3_per_cell=75.2 magmom_total_mub_per_atom=0.0000 n_ef_per_ev_cell=2.7 pbc="T T T"
Sn 1.675 1.675 1.675
Sn 5.025 5.025 5.025
B 0.000 0.000 0.000
P 3.350 3.350 3.350


Stability check: which of them is most stable? a.